(1)
# KTiSn3

KTiSn3 after structural relaxation (PBE-GGA, the Alexandria database).

The space group is Pm-3m (No. 221) and the conventional cell measures 5.5901, 5.5901 and 5.5901 Å, with angles of 90.00, 90.00 and 90.00 degrees. The distinct sites, in fractional coordinates, are K at (0.0000, 0.0000, 0.0000), Ti at (0.5000, 0.5000, 0.5000) and Sn at (0.0000, 0.0000, 0.5000).

(2)
# KTi2Sn2

KTi2Sn2 after structural relaxation (PBE-GGA, the Alexandria database).

The space group is I4/mmm (No. 139) and the conventional cell measures 4.5923, 4.5923 and 12.9283 Å, with angles of 90.00, 90.00 and 90.00 degrees. The distinct sites, in fractional coordinates, are K at (0.0000, 0.0000, 0.0000), Ti at (0.0000, 0.5000, 0.2500) and Sn at (0.0000, 0.0000, 0.3761).

(3)
# KTiSn3

KTiSn3 after structural relaxation (PBE-GGA, the Alexandria database).

The space group is Pm-3m (No. 221) and the conventional cell measures 5.3658, 5.3658 and 5.3658 Å, with angles of 90.00, 90.00 and 90.00 degrees. The distinct sites, in fractional coordinates, are K at (0.0000, 0.0000, 0.0000), Ti at (0.5000, 0.5000, 0.5000) and Sn at (0.0000, 0.5000, 0.5000).

(4)
# KTiTlSn2

KTiTlSn2 after structural relaxation (PBE-GGA, the Alexandria database).

The space group is P4/mmm (No. 123) and the conventional cell measures 5.3625, 5.3625 and 5.5480 Å, with angles of 90.00, 90.00 and 90.00 degrees. The distinct sites, in fractional coordinates, are K at (0.0000, 0.0000, 0.0000), Ti at (0.5000, 0.5000, 0.5000), Tl at (0.5000, 0.5000, 0.0000) and Sn at (0.0000, 0.5000, 0.5000).

(5)
# K3Tl9Sn2

K3Tl9Sn2 after structural relaxation (PBE-GGA, the Alexandria database).

The space group is Immm (No. 71) and the conventional cell measures 5.0200, 13.1238 and 14.3116 Å, with angles of 90.00, 90.00 and 90.00 degrees. The distinct sites, in fractional coordinates, are K at (0.0000, 0.0000, 0.0000), K at (0.0000, 0.0000, 0.2964), Tl at (0.0000, 0.2892, 0.1478), Tl at (0.0000, 0.3715, 0.3651), Tl at (0.0000, 0.5000, 0.0000) and Sn at (0.0000, 0.1776, 0.5000).

(6)
# KTl2Sn

KTl2Sn after structural relaxation (PBE-GGA, the Alexandria database).

The space group is P4/mmm (No. 123) and the conventional cell measures 5.4072, 5.4072 and 4.3580 Å, with angles of 90.00, 90.00 and 90.00 degrees. The distinct sites, in fractional coordinates, are K at (0.0000, 0.0000, 0.0000), Tl at (0.0000, 0.5000, 0.5000) and Sn at (0.5000, 0.5000, 0.0000).

(7)
# K3TlSn

K3TlSn after structural relaxation (PBE-GGA, the Alexandria database).

The space group is Pm-3m (No. 221) and the conventional cell measures 6.7449, 6.7449 and 6.7449 Å, with angles of 90.00, 90.00 and 90.00 degrees. The distinct sites, in fractional coordinates, are K at (0.0000, 0.0000, 0.5000), Tl at (0.5000, 0.5000, 0.5000) and Sn at (0.0000, 0.0000, 0.0000).

(8)
# KTl4Sn

KTl4Sn after structural relaxation (PBE-GGA, the Alexandria database).

The space group is Pmma (No. 51) and the conventional cell measures 9.5567, 4.8032 and 8.8673 Å, with angles of 90.00, 90.00 and 90.00 degrees. The distinct sites, in fractional coordinates, are K at (0.2500, 0.0000, 0.1343), Tl at (0.0000, 0.0000, 0.5000), Tl at (0.0459, 0.5000, 0.8123), Tl at (0.2500, 0.5000, 0.4526) and Sn at (0.2500, 0.0000, 0.7352).

Density of states at the Fermi level for the records above, in order: 12.5, 5.3, 2.4, 3.8, 7.4, 2.0, 4.6, 3.1 states/eV/f.u.
Formation enthalpy at 0 K for the records above, in order: 1541, 44, -124, -55, -69, -7, 210, -56 meV per atom